Record 1
! Ca11Mg9Zn4, optimized geometry, DFT PBE; values from VASP
! space group = Cmmm, No. 65
! energy of formation = -0.121 eV/atom
! mass density = 2.213 Mg/m³
! M_tot = 0.00 μB per formula unit
&SYSTEM
  ibrav = 0, nat = 24, ntyp = 3
/
ATOMIC_SPECIES
Mg 24.30 Mg.upf
Ca 40.08 Ca.upf
Zn 65.41 Zn.upf
ATOMIC_POSITIONS crystal
Mg 0.500 0.635 0.157
Ca 0.000 0.842 0.158
Ca 0.000 0.415 0.073
Ca 0.000 0.585 0.927
Ca 0.000 0.000 0.000
Ca 0.000 0.368 0.632
Mg 0.500 0.923 0.781
Ca 0.000 0.632 0.368
Mg 0.500 0.077 0.219
Mg 0.500 0.500 0.500
Ca 0.000 0.073 0.415
Mg 0.500 0.157 0.635
Mg 0.500 0.843 0.365
Mg 0.500 0.219 0.077
Zn 0.500 0.448 0.255
Zn 0.500 0.552 0.745
Mg 0.500 0.781 0.923
Zn 0.500 0.255 0.448
Ca 0.000 0.302 0.302
Ca 0.000 0.698 0.698
Ca 0.000 0.158 0.842
Ca 0.000 0.927 0.585
Zn 0.500 0.745 0.552
Mg 0.500 0.365 0.843
CELL_PARAMETERS angstrom
3.885 0.000 0.000
0.000 12.792 -5.632
0.000 -0.152 13.976


Record 2
! CaMg2Zn, optimized geometry, DFT PBE; values from VASP
! space group = R3m, No. 160
! energy of formation = 0.057 eV/atom
! mass density = 2.485 Mg/m³
! M_tot = 0.00 μB per formula unit
&SYSTEM
  ibrav = 0, nat = 4, ntyp = 3
/
ATOMIC_SPECIES
Ca 40.08 Ca.upf
Zn 65.41 Zn.upf
Mg 24.30 Mg.upf
ATOMIC_POSITIONS crystal
Ca 0.759 0.759 0.759
Zn 0.506 0.506 0.506
Mg 0.994 0.994 0.994
Mg 0.241 0.241 0.241
CELL_PARAMETERS angstrom
-3.257 4.342 -8.298
-6.308 3.564 -6.769
-4.613 6.499 -5.899


Record 3
! CaMg4Zn2, optimized geometry, DFT PBE; values from VASP
! space group = I4/mmm, No. 139
! energy of formation = -0.026 eV/atom
! mass density = 2.909 Mg/m³
! M_tot = 0.00 μB per formula unit
! E above lowest polymorph = 100 meV/atom
&SYSTEM
  ibrav = 0, nat = 7, ntyp = 3
/
ATOMIC_SPECIES
Mg 24.30 Mg.upf
Ca 40.08 Ca.upf
Zn 65.41 Zn.upf
ATOMIC_POSITIONS crystal
Mg 0.304 0.304 0.607
Ca 0.000 0.000 0.000
Mg 0.696 0.304 0.000
Mg 0.304 0.696 0.000
Zn 0.250 0.750 0.500
Mg 0.696 0.696 0.393
Zn 0.750 0.250 0.500
CELL_PARAMETERS angstrom
-3.082 -1.609 4.792
2.800 5.199 -0.426
-4.140 0.344 -4.218